DFT (PBE) results for a geometry-optimized RbPPtS2 structure.

Calculated values
Raw formation energy   2.17 eV/atom
Calculated total energy   -0.0723 hartree per atom
Space group   P4/mmm (123)
Total magnetic moment   6.047 μB per formula unit

a = 5.7941 Å, b = 5.7941 Å, c = 6.1752 Å
α = 90.00°, β = 90.00°, γ = 90.00°
Last column: nearest neighbours and their distance in Å.
Element x y z (fractional)
P: 0.0000 0.0000 0.5000  2 Rb 3.09
S: 0.0000 0.5000 0.0000  2 Rb 2.90
S: 0.5000 0.0000 0.0000  2 Rb 2.90
Rb: 0.0000 0.0000 0.0000  4 S 2.90, 2 P 3.09
Pt: 0.5000 0.5000 0.5000  4 P 4.10, 8 S 4.23